Record 1
Computed, not measured: a relaxed HfPtN2F crystal at the PBE-GGA level of DFT.

Values from the calculation:
ΔE_f (raw)   454 meV per atom
Total DFT energy (no corrections)   -32.246 eV/cell
Volume   12.8 Å³ per atom
SG   P4/mmm

Cell: 4.0048 4.0048 3.9937 Å, 90.00 90.00 90.00°
Element x y z (fractional)
Hf  0.0000  0.0000  0.0000
Pt  0.5000  0.5000  0.5000
N  0.0000  0.5000  0.5000
N  0.5000  0.0000  0.5000
F  0.5000  0.5000  0.0000


Record 2
Computed, not measured: a relaxed Rb2Sr3I8 crystal at the PBE-GGA level of DFT.

Values from the calculation:
ΔE_f (raw)   -1648 meV per atom
Total DFT energy (no corrections)   -40.807 eV/cell
Volume   54.1 Å³ per atom
SG   C2/m

Cell: 10.2490 10.2490 8.4097 Å, 106.28 106.28 57.18°
Element x y z (fractional)
Rb  0.2327  0.2327  0.1596
Rb  0.7673  0.7673  0.8404
Sr  0.2423  0.7577  0.5000
Sr  0.5000  0.5000  0.0000
Sr  0.7577  0.2423  0.5000
I  0.1141  0.1141  0.4449
I  0.1605  0.6198  0.1036
I  0.3802  0.8395  0.8964
I  0.3950  0.3950  0.5931
I  0.6050  0.6050  0.4069
I  0.6198  0.1605  0.1036
I  0.8395  0.3802  0.8964
I  0.8859  0.8859  0.5551


Record 3
Computed, not measured: a relaxed Sr2Cu3S2O2 crystal at the PBE-GGA level of DFT.

Values from the calculation:
ΔE_f (raw)   -1329 meV per atom
Total DFT energy (no corrections)   -45.781 eV/cell
Volume   15.9 Å³ per atom
SG   I4/mmm

Cell: 9.6326 9.6326 9.6326 Å, 156.42 156.42 33.59°
Element x y z (fractional)
Sr  0.0915  0.0915  0.0000
Sr  0.9085  0.9085  0.0000
Cu  0.2500  0.7500  0.5000
Cu  0.5000  0.5000  0.0000
Cu  0.7500  0.2500  0.5000
S  0.3257  0.3257  0.0000
S  0.6743  0.6743  0.0000
O  0.0000  0.5000  0.5000
O  0.5000  0.0000  0.5000


Record 4
Computed, not measured: a relaxed Si3SeO crystal at the PBE-GGA level of DFT.

Values from the calculation:
ΔE_f (raw)   391 meV per atom
Total DFT energy (no corrections)   -22.758 eV/cell
Volume   16.5 Å³ per atom
SG   Pm-3m

Cell: 4.3555 4.3555 4.3555 Å, 90.00 90.00 90.00°
Element x y z (fractional)
Si  0.0000  0.0000  0.5000
Si  0.0000  0.5000  0.0000
Si  0.5000  0.0000  0.0000
Se  0.5000  0.5000  0.5000
O  0.0000  0.0000  0.0000


Record 5
Computed, not measured: a relaxed La3Tl4PbSe8 crystal at the PBE-GGA level of DFT.

Values from the calculation:
ΔE_f (raw)   -1177 meV per atom
Total DFT energy (no corrections)   -74.656 eV/cell
Volume   31.9 Å³ per atom
SG   R-3m

Cell: 9.0783 9.0783 9.0783 Å, 58.42 58.42 58.42°
Element x y z (fractional)
La  0.0000  0.5000  0.5000
La  0.5000  0.0000  0.5000
La  0.5000  0.5000  0.0000
Tl  0.0000  0.0000  0.5000
Tl  0.0000  0.5000  0.0000
Tl  0.5000  0.0000  0.0000
Tl  0.5000  0.5000  0.5000
Pb  0.0000  0.0000  0.0000
Se  0.2450  0.2450  0.7317
Se  0.2450  0.7317  0.2450
Se  0.2616  0.2616  0.2616
Se  0.2683  0.7550  0.7550
Se  0.7317  0.2450  0.2450
Se  0.7384  0.7384  0.7384
Se  0.7550  0.2683  0.7550
Se  0.7550  0.7550  0.2683


Record 6
Computed, not measured: a relaxed TlSnBi2H crystal at the PBE-GGA level of DFT.

Values from the calculation:
Total DFT energy (no corrections)   -16.335 eV/cell
Volume   28.1 Å³ per atom
SG   P4/mmm

Cell: 6.1366 6.1366 3.7252 Å, 90.00 90.00 90.00°
Element x y z (fractional)
Tl  0.0000  0.0000  0.0000
Sn  0.5000  0.5000  0.5000
Bi  0.0000  0.5000  0.5000
Bi  0.5000  0.0000  0.5000
H  0.5000  0.5000  0.0000


Number 1: magnetic moment 0.0 μB/f.u.. Number 2: magnetic moment 0.0 μB/f.u.. Number 3: magnetic moment 0.0 μB/f.u.. Number 4: magnetic moment 0.0 μB/f.u.. Number 5: magnetic moment 0.0 μB/f.u.. Number 6: magnetic moment 0.0 μB/f.u..